# 1
VASP calculation (PBE) on a geometry-optimized BaGaN2F structure.

Cell: 5.379 5.379 4.972 Å, 90.00 90.00 90.00°
Atoms (fractional coordinates):
Ba1 0.000 0.000 0.000
Ga1 0.500 0.500 0.500
N1 0.000 0.500 0.000
N2 0.500 0.000 0.000
F1 0.000 0.000 0.500

Output
Crystal system: tetragonal
ΔE_f (raw): 0.554 eV per atom
Mass density: 2.93 g/cm³
Calculated total energy: -20.70 eV/cell

=====

# 2
VASP calculation (PBE) on a geometry-optimized Sm2ZrGe3Rh4 structure.

Cell: 4.153 4.153 11.005 Å, 90.00 90.00 90.00°
Atoms (fractional coordinates):
Sm1 0.000 0.500 0.233
Sm2 0.500 0.000 0.767
Zr1 0.000 0.000 0.500
Ge1 0.000 0.500 0.875
Ge2 0.500 0.000 0.125
Ge3 0.500 0.500 0.500
Rh1 0.000 0.000 0.000
Rh2 0.000 0.500 0.651
Rh3 0.500 0.000 0.349
Rh4 0.500 0.500 0.000

Output
Crystal system: tetragonal
Energy of formation: -0.90 eV/atom
Mass density: 8.94 g/cm³
Calculated total energy: -70.20 eV/cell

=====

# 3
VASP calculation (PBE) on a geometry-optimized CeAs2PdRh2 structure.

Cell: 4.722 4.722 5.489 Å, 90.00 90.00 90.00°
Atoms (fractional coordinates):
Ce1 0.000 0.000 0.000
As1 0.000 0.500 0.500
As2 0.500 0.000 0.500
Pd1 0.000 0.000 0.500
Rh1 0.500 0.500 0.243
Rh2 0.500 0.500 0.757

Output
Crystal system: tetragonal
Energy of formation: -0.12 eV/atom
Mass density: 8.17 g/cm³
Calculated total energy: -35.85 eV/cell

=====

# 4
VASP calculation (PBE) on a geometry-optimized Nb3Se2S4 structure.

Cell: 3.395 3.395 21.061 Å, 90.00 90.00 120.00°
Atoms (fractional coordinates):
Nb1 0.000 0.000 0.000
Nb2 0.000 0.000 0.352
Nb3 0.667 0.333 0.672
Se1 0.667 0.333 0.082
Se2 0.667 0.333 0.919
S1 0.000 0.000 0.599
S2 0.000 0.000 0.746
S3 0.667 0.333 0.278
S4 0.667 0.333 0.426

Output
Crystal system: trigonal
ΔE_f (raw): -0.963 eV per atom
Mass density: 4.46 g/cm³
Calculated total energy: -62.36 eV/cell

=====

# 5
VASP calculation (PBE) on a geometry-optimized LaMn2Br structure.

Cell: 3.687 4.523 6.120 Å, 90.00 90.00 90.00°
Atoms (fractional coordinates):
La1 0.000 0.000 0.000
Mn1 0.500 0.500 0.225
Mn2 0.500 0.500 0.775
Br1 0.000 0.000 0.500

Output
Crystal system: orthorhombic
ΔE_f (raw): 0.301 eV per atom
Mass density: 5.35 g/cm³
Calculated total energy: -23.73 eV/cell

=====

# 6
VASP calculation (PBE) on a geometry-optimized MnCu3Pt4 structure.

Cell: 3.941 3.941 14.537 Å, 90.00 90.00 90.00°
Atoms (fractional coordinates):
Mn1 0.000 0.000 0.000
Mn2 0.500 0.500 0.500
Cu1 0.000 0.000 0.251
Cu2 0.000 0.000 0.500
Cu3 0.000 0.000 0.749
Cu4 0.500 0.500 0.000
Cu5 0.500 0.500 0.249
Cu6 0.500 0.500 0.751
Pt1 0.000 0.500 0.126
Pt2 0.000 0.500 0.374
Pt3 0.000 0.500 0.626
Pt4 0.000 0.500 0.874
Pt5 0.500 0.000 0.126
Pt6 0.500 0.000 0.374
Pt7 0.500 0.000 0.626
Pt8 0.500 0.000 0.874

Output
Crystal system: tetragonal
Energy of formation: -0.24 eV/atom
Mass density: 15.09 g/cm³
Calculated total energy: -95.11 eV/cell

=====

# 7
VASP calculation (PBE) on a geometry-optimized Tb3Tm3Ga4 structure.

Cell: 4.301 7.618 7.618 Å, 90.34 90.00 90.00°
Atoms (fractional coordinates):
Tb1 0.000 0.000 0.000
Tb2 0.000 0.498 0.848
Tb3 0.000 0.848 0.498
Tm1 0.000 0.349 0.349
Tm2 0.500 0.174 0.673
Tm3 0.500 0.673 0.174
Ga1 0.500 0.055 0.295
Ga2 0.500 0.295 0.055
Ga3 0.500 0.551 0.551
Ga4 0.500 0.793 0.793

Output
Crystal system: orthorhombic
Energy of formation: -0.53 eV/atom
Mass density: 8.40 g/cm³
Calculated total energy: -44.73 eV/cell

=====

# 8
VASP calculation (PBE) on a geometry-optimized BeSiRh2 structure.

Cell: 2.828 3.935 8.811 Å, 90.00 90.00 90.00°
Atoms (fractional coordinates):
Be1 0.000 0.000 0.000
Be2 0.500 0.500 0.500
Si1 0.000 0.500 0.752
Si2 0.500 0.000 0.252
Rh1 0.000 0.000 0.495
Rh2 0.000 0.500 0.273
Rh3 0.500 0.000 0.773
Rh4 0.500 0.500 0.995

Output
Crystal system: orthorhombic
ΔE_f (raw): -0.533 eV per atom
Mass density: 8.23 g/cm³
Calculated total energy: -51.97 eV/cell